# 1
DFT (PBE) results for a geometry-optimized LaSm2TmSb4 structure.

Cell and atoms, written as POSCAR:
```
LaSm2TmSb4
1.0
7.749 0.000 0.000
0.000 4.484 0.000
-2.586 0.000 7.320
La Sm Tm Sb
1 2 1 4
direct
0.000 0.000 0.000
0.000 0.500 0.500
0.500 0.000 0.500
0.500 0.500 0.000
0.258 0.500 0.252
0.259 0.000 0.753
0.741 0.000 0.247
0.742 0.500 0.748
```

## Properties
For the total energy, the calculation gives -5.577 eV/atom. Its raw formation energy is -1161 meV per atom. As for the space group: P2/m, No. 10.

# 2
DFT (PBE) results for a geometry-optimized La3SmTm2Sb6 structure.

Cell and atoms, written as POSCAR:
```
La3SmTm2Sb6
1.0
3.907 -6.767 0.000
3.907 6.767 0.000
-2.605 0.000 7.336
La Sm Tm Sb
3 1 2 6
direct
0.000 0.000 0.000
0.335 0.665 0.000
0.665 0.335 0.000
0.500 0.500 0.500
0.167 0.833 0.500
0.833 0.167 0.500
0.083 0.421 0.263
0.240 0.240 0.735
0.421 0.083 0.263
0.579 0.917 0.737
0.760 0.760 0.265
0.917 0.579 0.737
```

## Properties
For the total energy, the calculation gives -5.614 eV/atom. Its raw formation energy is -1183 meV per atom. As for the space group: C2/m, No. 12.

# 3
DFT (PBE) results for a geometry-optimized La4SnSb5 structure.

Cell and atoms, written as POSCAR:
```
La4SnSb5
1.0
-2.245 5.704 6.299
2.245 -5.704 6.299
2.245 5.704 -6.299
La Sn Sb
4 1 5
direct
0.209 0.500 0.709
0.245 0.245 0.000
0.755 0.755 0.000
0.791 0.500 0.291
0.500 0.500 0.000
0.000 0.000 0.000
0.156 0.834 0.322
0.488 0.166 0.322
0.512 0.834 0.678
0.844 0.166 0.678
```

## Properties
For the total energy, the calculation gives -5.346 eV/atom. Its raw formation energy is -914 meV per atom. As for the space group: Immm, No. 71.

# 4
DFT (PBE) results for a geometry-optimized LaSnSb3 structure.

Cell and atoms, written as POSCAR:
```
LaSnSb3
1.0
14.648 0.000 0.000
0.000 6.257 0.000
0.000 0.000 6.505
La Sn Sb
4 4 12
direct
0.172 0.001 0.250
0.172 0.499 0.750
0.828 0.501 0.250
0.828 0.999 0.750
0.390 0.250 0.000
0.390 0.250 0.500
0.610 0.750 0.000
0.610 0.750 0.500
0.000 0.250 0.000
0.000 0.250 0.500
0.000 0.750 0.000
0.000 0.750 0.500
0.232 0.505 0.250
0.232 0.995 0.750
0.401 0.714 0.750
0.401 0.786 0.250
0.599 0.214 0.750
0.599 0.286 0.250
0.768 0.005 0.250
0.768 0.495 0.750
```

## Properties
As for the offset from the most stable computed form: 0.0000 eV/atom. For the total energy, the calculation gives -4.736 eV/atom. Its raw formation energy is -476 meV per atom. As for the space group: Pbcm, No. 57.

# 5
DFT (PBE) results for a geometry-optimized La2SnSb2 structure.

Cell and atoms, written as POSCAR:
```
La2SnSb2
1.0
8.467 0.000 0.000
0.000 8.467 0.000
0.000 0.000 4.419
La Sn Sb
4 2 4
direct
0.157 0.343 0.000
0.343 0.843 0.000
0.657 0.157 0.000
0.843 0.657 0.000
0.000 0.000 0.500
0.500 0.500 0.500
0.150 0.650 0.500
0.350 0.150 0.500
0.650 0.850 0.500
0.850 0.350 0.500
```

## Properties
As for the offset from the most stable computed form: 0.0000 eV/atom. For the total energy, the calculation gives -5.302 eV/atom. Its raw formation energy is -882 meV per atom. As for the space group: P4/mbm, No. 127.

# 6
DFT (PBE) results for a geometry-optimized LaSnSb3 structure.

Cell and atoms, written as POSCAR:
```
LaSnSb3
1.0
5.594 0.000 0.000
0.000 5.594 0.000
0.000 0.000 5.594
La Sn Sb
1 1 3
direct
0.000 0.000 0.000
0.500 0.500 0.500
0.000 0.500 0.500
0.500 0.000 0.500
0.500 0.500 0.000
```

## Properties
As for the offset from the most stable computed form: 0.6411 eV/atom. For the total energy, the calculation gives -4.095 eV/atom. Its raw formation energy is 165 meV per atom. As for the space group: Pm-3m, No. 221.

Which of these has the lowest raw formation energy?
La3SmTm2Sb6

Copy entry 4 word for word.
DFT (PBE) results for a geometry-optimized LaSnSb3 structure.

Cell and atoms, written as POSCAR:
```
LaSnSb3
1.0
14.648 0.000 0.000
0.000 6.257 0.000
0.000 0.000 6.505
La Sn Sb
4 4 12
direct
0.172 0.001 0.250
0.172 0.499 0.750
0.828 0.501 0.250
0.828 0.999 0.750
0.390 0.250 0.000
0.390 0.250 0.500
0.610 0.750 0.000
0.610 0.750 0.500
0.000 0.250 0.000
0.000 0.250 0.500
0.000 0.750 0.000
0.000 0.750 0.500
0.232 0.505 0.250
0.232 0.995 0.750
0.401 0.714 0.750
0.401 0.786 0.250
0.599 0.214 0.750
0.599 0.286 0.250
0.768 0.005 0.250
0.768 0.495 0.750
```

## Properties
As for the offset from the most stable computed form: 0.0000 eV/atom. For the total energy, the calculation gives -4.736 eV/atom. Its raw formation energy is -476 meV per atom. As for the space group: Pbcm, No. 57.